Compound: SrNbI2O
Source: Alexandria via LeMat-Bulk
Functional: SCAN
Structure: single point on PBEsol structure

The calculation puts the formation energy from raw total energies at -170 meV per atom. Its uncorrected energy is -27.194 eV/atom.

a b c (Å): 6.1332 6.1332 4.1598
angles (deg): 90.00 90.00 90.00
Space group P4/mmm (No. 123)
Symmetry-distinct sites (fractional):
1 Sr 0.0000 0.0000 0.0000
2 Nb 0.5000 0.5000 0.5000
3 I 0.0000 0.5000 0.0000
4 O 0.0000 0.0000 0.5000


Compound: TaNbIO2
Source: Alexandria via LeMat-Bulk
Functional: SCAN
Structure: single point on PBEsol structure

The calculation puts the formation energy from raw total energies at -761 meV per atom. Its uncorrected energy is -30.545 eV/atom.

a b c (Å): 3.9316 3.9316 6.1880
angles (deg): 90.00 90.00 90.00
Space group P4/mmm (No. 123)
Symmetry-distinct sites (fractional):
1 Ta 0.0000 0.0000 0.0000
2 Nb 0.5000 0.5000 0.5000
3 I 0.0000 0.0000 0.5000
4 O 0.0000 0.5000 0.0000


Compound: TaNbIO2
Source: Alexandria via LeMat-Bulk
Functional: SCAN
Structure: single point on PBEsol structure

The calculation puts the formation energy from raw total energies at -322 meV per atom. Its uncorrected energy is -30.106 eV/atom.

a b c (Å): 3.9582 3.9582 6.0533
angles (deg): 90.00 90.00 90.00
Space group P4/mmm (No. 123)
Symmetry-distinct sites (fractional):
1 Ta 0.0000 0.0000 0.0000
2 Nb 0.5000 0.5000 0.5000
3 I 0.5000 0.5000 0.0000
4 O 0.0000 0.5000 0.5000


Compound: NbTlIO2
Source: Alexandria via LeMat-Bulk
Functional: SCAN
Structure: single point on PBEsol structure

The calculation puts the formation energy from raw total energies at -1121 meV per atom. Its uncorrected energy is -32.060 eV/atom.

a b c (Å): 4.1723 4.1723 5.7115
angles (deg): 90.00 90.00 90.00
Space group P4/mmm (No. 123)
Symmetry-distinct sites (fractional):
1 Nb 0.0000 0.0000 0.0000
2 Tl 0.5000 0.5000 0.5000
3 I 0.0000 0.0000 0.5000
4 O 0.0000 0.5000 0.0000


Compound: NbZnIO2
Source: Alexandria via LeMat-Bulk
Functional: SCAN
Structure: single point on PBEsol structure

The calculation puts the formation energy from raw total energies at 172 meV per atom. Its uncorrected energy is -18.998 eV/atom.

a b c (Å): 3.9856 3.9856 5.0887
angles (deg): 90.00 90.00 90.00
Space group P4/mmm (No. 123)
Symmetry-distinct sites (fractional):
1 Nb 0.0000 0.0000 0.0000
2 Zn 0.5000 0.5000 0.5000
3 I 0.5000 0.5000 0.0000
4 O 0.0000 0.5000 0.5000


Compound: ZrNbIO2
Source: Alexandria via LeMat-Bulk
Functional: SCAN
Structure: single point on PBEsol structure

The calculation puts the formation energy from raw total energies at -1179 meV per atom. Its uncorrected energy is -23.785 eV/atom.

a b c (Å): 4.0654 4.0654 6.0153
angles (deg): 90.00 90.00 90.00
Space group P4/mmm (No. 123)
Symmetry-distinct sites (fractional):
1 Zr 0.0000 0.0000 0.0000
2 Nb 0.5000 0.5000 0.5000
3 I 0.0000 0.0000 0.5000
4 O 0.0000 0.5000 0.0000


Compound: Nb2TeOsI
Source: Alexandria via LeMat-Bulk
Functional: SCAN
Structure: single point on PBEsol structure

The calculation puts the formation energy from raw total energies at 1131 meV per atom. Its uncorrected energy is -41.296 eV/atom.

a b c (Å): 4.9662 4.9662 5.0812
angles (deg): 90.00 90.00 90.00
Space group P4/mmm (No. 123)
Symmetry-distinct sites (fractional):
1 Nb 0.0000 0.5000 0.0000
2 Te 0.0000 0.0000 0.5000
3 Os 0.5000 0.5000 0.0000
4 I 0.5000 0.5000 0.5000


Compound: NbTePI2
Source: Alexandria via LeMat-Bulk
Functional: SCAN
Structure: single point on PBEsol structure

The calculation puts the formation energy from raw total energies at 575 meV per atom. Its uncorrected energy is -30.278 eV/atom.

a b c (Å): 5.5161 5.5161 5.3469
angles (deg): 90.00 90.00 90.00
Space group P4/mmm (No. 123)
Symmetry-distinct sites (fractional):
1 Nb 0.0000 0.0000 0.0000
2 Te 0.0000 0.0000 0.5000
3 P 0.5000 0.5000 0.5000
4 I 0.0000 0.5000 0.0000


Compound: NbTe2PbI
Source: Alexandria via LeMat-Bulk
Functional: SCAN
Structure: single point on PBEsol structure

The calculation puts the formation energy from raw total energies at 95 meV per atom. Its uncorrected energy is -43.936 eV/atom.

a b c (Å): 5.3954 5.3954 5.4910
angles (deg): 90.00 90.00 90.00
Space group P4/mmm (No. 123)
Symmetry-distinct sites (fractional):
1 Nb 0.0000 0.0000 0.0000
2 Te 0.0000 0.5000 0.0000
3 Pb 0.5000 0.5000 0.5000
4 I 0.0000 0.0000 0.5000


Compound: Nb2PtI
Source: Alexandria via LeMat-Bulk
Functional: SCAN
Structure: single point on PBEsol structure

The calculation puts the formation energy from raw total energies at 163 meV per atom. Its uncorrected energy is -43.136 eV/atom.

a b c (Å): 6.5894 6.5894 6.5894
angles (deg): 90.00 90.00 90.00
Space group Fm-3m (No. 225)
Symmetry-distinct sites (fractional):
1 Nb 0.2500 0.2500 0.2500
2 Pt 0.0000 0.0000 0.0000
3 I 0.0000 0.0000 0.5000


Compound: RbNb2I
Source: Alexandria via LeMat-Bulk
Functional: SCAN
Structure: single point on PBEsol structure

The calculation puts the formation energy from raw total energies at 1789 meV per atom. Its uncorrected energy is -29.146 eV/atom.

a b c (Å): 6.9140 6.9140 6.9140
angles (deg): 90.00 90.00 90.00
Space group Fm-3m (No. 225)
Symmetry-distinct sites (fractional):
1 Rb 0.0000 0.0000 0.0000
2 Nb 0.2500 0.2500 0.2500
3 I 0.0000 0.0000 0.5000


Compound: Nb2ReI
Source: Alexandria via LeMat-Bulk
Functional: SCAN
Structure: single point on PBEsol structure

The calculation puts the formation energy from raw total energies at 784 meV per atom. Its uncorrected energy is -42.740 eV/atom.

a b c (Å): 6.5944 6.5944 6.5944
angles (deg): 90.00 90.00 90.00
Space group Fm-3m (No. 225)
Symmetry-distinct sites (fractional):
1 Nb 0.2500 0.2500 0.2500
2 Re 0.0000 0.0000 0.0000
3 I 0.0000 0.0000 0.5000